MnCdCuAu2, optimized geometry, DFT GGA-PBEsol; D(E_F) = 2.4 states/eV per cell; volume = 20.6 Å³ per atom; final energy = -3.89 eV per atom; SG = P4/mmm (123); E_form = 0.735 eV/atom
1.0
-4.363 0.197 -1.608
1.625 -0.036 -4.413
-0.199 -4.698 -0.035
Mn Au Cu Cd
1 2 1 1
direct
0.500 0.500 0.500 Mn
0.000 0.000 0.500 Au
0.000 0.500 0.000 Au
0.000 0.000 0.000 Cu
0.500 0.000 0.000 Cd